1.
# Fe2CuHRh PBE optimized geometry
# Space group: No. 123
# E above lowest polymorph (eV per atom): 0.050
# ρ (g cm⁻³): 8.8
# M_tot (μB per formula unit): 6.2
# Density of states at the Fermi level (states/eV/cell): 2.552
# E_tot (eV per atom): -6.28
data_Fe2CuHRh
_cell_length_a 3.702
_cell_length_b 3.702
_cell_length_c 3.832
_cell_angle_alpha 90.00
_cell_angle_beta 90.00
_cell_angle_gamma 90.00
_symmetry_space_group_name_H-M 'P 1'
_symmetry_Int_Tables_number 1
loop_
_symmetry_equiv_pos_as_xyz
'x,y,z'
loop_
_atom_site_label
_atom_site_fract_x
_atom_site_fract_y
_atom_site_fract_z
H1 0.000 0.000 0.000
Rh1 0.500 0.500 0.500
Fe1 0.000 0.500 0.000
Fe2 0.500 0.000 0.000
Cu1 0.000 0.000 0.500

2.
# InRuBr2 PBE optimized geometry
# Space group: No. 8
# E above lowest polymorph (eV per atom): 0.009
# Uncorrected formation energy (eV per atom): -0.076
# ρ (g cm⁻³): 5.3
# M_tot (μB per formula unit): 0.3
# Density of states at the Fermi level (states/eV/cell): 3.604
# E_tot (eV per atom): -3.92
data_InRuBr2
_cell_length_a 5.287
_cell_length_b 5.287
_cell_length_c 7.285
_cell_angle_alpha 68.81
_cell_angle_beta 68.81
_cell_angle_gamma 38.61
_symmetry_space_group_name_H-M 'P 1'
_symmetry_Int_Tables_number 1
loop_
_symmetry_equiv_pos_as_xyz
'x,y,z'
loop_
_atom_site_label
_atom_site_fract_x
_atom_site_fract_y
_atom_site_fract_z
Ru1 0.701 0.701 0.625
Br1 0.109 0.109 0.902
Br2 0.264 0.264 0.348
In1 0.427 0.427 0.625

3.
# Ce4In3Hg5 PBE optimized geometry
# Space group: No. 12
# ΔE_f (eV/f.u.): -2.3
# ρ (g cm⁻³): 9.6
# M_tot (μB per formula unit): 4.4
# Density of states at the Fermi level (states/eV/cell): 23.110
# E_tot (eV per atom): -2.98
data_Ce4In3Hg5
_cell_length_a 5.327
_cell_length_b 9.168
_cell_length_c 7.948
_cell_angle_alpha 66.48
_cell_angle_beta 70.42
_cell_angle_gamma 73.11
_symmetry_space_group_name_H-M 'P 1'
_symmetry_Int_Tables_number 1
loop_
_symmetry_equiv_pos_as_xyz
'x,y,z'
loop_
_atom_site_label
_atom_site_fract_x
_atom_site_fract_y
_atom_site_fract_z
Ce1 0.925 0.226 0.923
Ce2 0.264 0.767 0.705
Ce3 0.736 0.233 0.295
Ce4 0.075 0.774 0.077
In1 0.394 0.015 0.198
In2 0.000 0.500 0.500
In3 0.606 0.985 0.802
Hg1 0.154 0.144 0.549
Hg2 0.500 0.500 0.500
Hg3 0.716 0.598 0.971
Hg4 0.284 0.402 0.029
Hg5 0.846 0.856 0.451

4.
# Ho2MnCo3P4 PBE optimized geometry
# Space group: No. 115
# ΔE_f (eV/f.u.): -9.8
# ρ (g cm⁻³): 8.2
# M_tot (μB per formula unit): 0.0
# Density of states at the Fermi level (states/eV/cell): 4.305
# E_tot (eV per atom): -7.10
data_Ho2MnCo3P4
_cell_length_a 3.917
_cell_length_b 3.917
_cell_length_c 9.041
_cell_angle_alpha 90.00
_cell_angle_beta 90.00
_cell_angle_gamma 90.00
_symmetry_space_group_name_H-M 'P 1'
_symmetry_Int_Tables_number 1
loop_
_symmetry_equiv_pos_as_xyz
'x,y,z'
loop_
_atom_site_label
_atom_site_fract_x
_atom_site_fract_y
_atom_site_fract_z
Ho1 0.500 0.000 0.241
Ho2 0.000 0.500 0.759
Mn1 0.500 0.500 0.500
Co1 0.000 0.000 0.500
Co2 0.500 0.000 0.885
Co3 0.000 0.500 0.115
P1 0.500 0.500 0.000
P2 0.000 0.000 0.000
P3 0.500 0.000 0.631
P4 0.000 0.500 0.369

5.
# Nd4Te5Au PBE optimized geometry
# Space group: No. 12
# Uncorrected formation energy (eV per atom): -1.143
# ρ (g cm⁻³): 6.1
# M_tot (μB per formula unit): 0.0
# Density of states at the Fermi level (states/eV/cell): 4.789
# E_tot (eV per atom): -4.95
data_Nd4Te5Au
_cell_length_a 4.421
_cell_length_b 9.252
_cell_length_c 10.110
_cell_angle_alpha 106.08
_cell_angle_beta 102.63
_cell_angle_gamma 90.00
_symmetry_space_group_name_H-M 'P 1'
_symmetry_Int_Tables_number 1
loop_
_symmetry_equiv_pos_as_xyz
'x,y,z'
loop_
_atom_site_label
_atom_site_fract_x
_atom_site_fract_y
_atom_site_fract_z
Nd1 0.326 0.901 0.651
Nd2 0.998 0.739 0.996
Nd3 0.674 0.099 0.349
Nd4 0.002 0.261 0.004
Te1 0.838 0.675 0.677
Te2 0.837 0.156 0.673
Te3 0.163 0.844 0.327
Te4 0.500 0.500 0.000
Te5 0.162 0.325 0.323
Au1 0.500 0.000 0.000

6.
# NaLiSb PBE optimized geometry
# Space group: No. 216
# E above lowest polymorph (eV per atom): 0.226
# Uncorrected formation energy (eV per atom): -0.248
# ρ (g cm⁻³): 3.4
# M_tot (μB per formula unit): 0.0
# Density of states at the Fermi level (states/eV/cell): 2.737
# E_tot (eV per atom): -2.70
data_NaLiSb
_cell_length_a 4.736
_cell_length_b 4.736
_cell_length_c 4.736
_cell_angle_alpha 60.00
_cell_angle_beta 60.00
_cell_angle_gamma 60.00
_symmetry_space_group_name_H-M 'P 1'
_symmetry_Int_Tables_number 1
loop_
_symmetry_equiv_pos_as_xyz
'x,y,z'
loop_
_atom_site_label
_atom_site_fract_x
_atom_site_fract_y
_atom_site_fract_z
Sb1 0.000 0.000 0.000
Li1 0.250 0.250 0.250
Na1 0.500 0.500 0.500

- Which value of ρ does entry 6 give?
  3.4 g cm⁻³